DFT (PBE) results for Ho6Cd5Ru after structural relaxation.

CIF file:
```
data_Ho6Cd5Ru
_symmetry_space_group_name_H-M 'C m m m'
_symmetry_Int_Tables_number 65
_symmetry_space_group_name_Hall '-C 2 2'
_cell_length_a 5.1594
_cell_length_b 15.4603
_cell_length_c 7.4168
_cell_angle_alpha 90.00
_cell_angle_beta 90.00
_cell_angle_gamma 90.00
loop_
_atom_site_label
_atom_site_type_symbol
_atom_site_fract_x
_atom_site_fract_y
_atom_site_fract_z
_atom_site_occupancy
Ho1 Ho 0.0000 0.0000 0.2284 1
Ho2 Ho 0.0000 0.3458 0.2373 1
Cd1 Cd 0.0000 0.1718 0.5000 1
Cd2 Cd 0.0000 0.1775 0.0000 1
Cd3 Cd 0.0000 0.5000 0.5000 1
Ru1 Ru 0.0000 0.5000 0.0000 1
```

Values from the calculation:
- ΔE_f: -354 meV per atom
- Size of the total moment: 0.000 μB/cell



DFT (PBE) results for Ho6CdRu after structural relaxation.

CIF file:
```
data_Ho6CdRu
_symmetry_space_group_name_H-M 'I 4/m m m'
_symmetry_Int_Tables_number 139
_symmetry_space_group_name_Hall '-I 4 2'
_cell_length_a 5.0403
_cell_length_b 5.0403
_cell_length_c 17.0171
_cell_angle_alpha 90.00
_cell_angle_beta 90.00
_cell_angle_gamma 90.00
loop_
_atom_site_label
_atom_site_type_symbol
_atom_site_fract_x
_atom_site_fract_y
_atom_site_fract_z
_atom_site_occupancy
Ho1 Ho 0.0000 0.0000 0.2500 1
Ho2 Ho 0.0000 0.5000 0.1011 1
Cd1 Cd 0.0000 0.0000 0.0000 1
Ru1 Ru 0.0000 0.0000 0.5000 1
```

Values from the calculation:
- ΔE_f: -118 meV per atom
- Size of the total moment: 0.002 μB/cell



DFT (PBE) results for Ho4CdRu2 after structural relaxation.

CIF file:
```
data_Ho4CdRu2
_symmetry_space_group_name_H-M 'I -4 2 d'
_symmetry_Int_Tables_number 122
_symmetry_space_group_name_Hall 'I -4 2bw'
_cell_length_a 8.7911
_cell_length_b 8.7911
_cell_length_c 8.6415
_cell_angle_alpha 90.00
_cell_angle_beta 90.00
_cell_angle_gamma 90.00
loop_
_atom_site_label
_atom_site_type_symbol
_atom_site_fract_x
_atom_site_fract_y
_atom_site_fract_z
_atom_site_occupancy
Ho1 Ho 0.0710 0.1738 0.3278 1
Cd1 Cd 0.0000 0.0000 0.0000 1
Ru1 Ru 0.1432 0.2500 0.6250 1
```

Values from the calculation:
- ΔE_f: -235 meV per atom
- Size of the total moment: 0.000 μB/cell



DFT (PBE) results for Ho6CdRu2 after structural relaxation.

CIF file:
```
data_Ho6CdRu2
_symmetry_space_group_name_H-M 'C 1 2/m 1'
_symmetry_Int_Tables_number 12
_symmetry_space_group_name_Hall '-C 2y'
_cell_length_a 10.0543
_cell_length_b 5.0041
_cell_length_c 9.3028
_cell_angle_alpha 90.00
_cell_angle_beta 101.07
_cell_angle_gamma 90.00
loop_
_atom_site_label
_atom_site_type_symbol
_atom_site_fract_x
_atom_site_fract_y
_atom_site_fract_z
_atom_site_occupancy
Ho1 Ho 0.0358 0.0000 0.3401 1
Ho2 Ho 0.1608 0.5000 0.8838 1
Ho3 Ho 0.2194 0.5000 0.3428 1
Cd1 Cd 0.0000 0.0000 0.0000 1
Ru1 Ru 0.1108 0.5000 0.5975 1
```

Values from the calculation:
- ΔE_f: -216 meV per atom
- Size of the total moment: 0.000 μB/cell



DFT (PBE) results for Ho3CdRu after structural relaxation.

CIF file:
```
data_Ho3CdRu
_symmetry_space_group_name_H-M 'P -1'
_symmetry_Int_Tables_number 2
_symmetry_space_group_name_Hall '-P 1'
_cell_length_a 5.5361
_cell_length_b 6.1855
_cell_length_c 8.6755
_cell_angle_alpha 103.13
_cell_angle_beta 100.16
_cell_angle_gamma 113.60
loop_
_atom_site_label
_atom_site_type_symbol
_atom_site_fract_x
_atom_site_fract_y
_atom_site_fract_z
_atom_site_occupancy
Ho1 Ho 0.0554 0.1906 0.2728 1
Ho2 Ho 0.2831 0.4187 0.7279 1
Ho3 Ho 0.3014 0.8019 0.1031 1
Cd1 Cd 0.3462 0.7621 0.4998 1
Ru1 Ru 0.2495 0.2491 0.9988 1
```

Values from the calculation:
- ΔE_f: -362 meV per atom
- Size of the total moment: 0.000 μB/cell



DFT (PBE) results for Ho8CdRu2 after structural relaxation.

CIF file:
```
data_Ho8CdRu2
_symmetry_space_group_name_H-M 'C 1 2/m 1'
_symmetry_Int_Tables_number 12
_symmetry_space_group_name_Hall '-C 2y'
_cell_length_a 8.6906
_cell_length_b 12.9900
_cell_length_c 5.4650
_cell_angle_alpha 90.00
_cell_angle_beta 103.67
_cell_angle_gamma 90.00
loop_
_atom_site_label
_atom_site_type_symbol
_atom_site_fract_x
_atom_site_fract_y
_atom_site_fract_z
_atom_site_occupancy
Ho1 Ho 0.0000 0.2482 0.0000 1
Ho2 Ho 0.1159 0.5000 0.8007 1
Ho3 Ho 0.1975 0.1321 0.5804 1
Cd1 Cd 0.0000 0.0000 0.0000 1
Ru1 Ru 0.0000 0.3128 0.5000 1
```

Values from the calculation:
- ΔE_f: -215 meV per atom
- Size of the total moment: 0.001 μB/cell